# HfGaAu

A relaxed HfGaAu crystal (GGA-PBE, Alexandria via LeMat-Bulk).

Summary:
Symmetry   No. 129
Formation energy from the elements   -279 meV per atom
Volume   19.4 Å³/atom
Density   12.70 g/cm³

Cell lengths 3.604, 3.604, 8.962 Å; angles 90.00, 90.00, 90.00 degrees
Fractional positions:
Hf: 0.250 0.250 0.240
Hf: 0.750 0.750 0.760
Ga: 0.250 0.750 0.500
Ga: 0.750 0.250 0.500
Au: 0.250 0.250 0.906
Au: 0.750 0.750 0.094